# TlS4Br

A relaxed TlS4Br crystal (PBE-GGA, Alexandria).

Cell: 3.780 10.506 10.763 Å, 88.55 84.44 82.86°
Space group P-1 (No. 2)
One atom of each set of equivalent atoms:
Tl (0.001, 0.366, 0.119) (multiplicity 2)
S (0.001, 0.360, 0.755) (multiplicity 2)
S (0.282, 0.557, 0.494) (multiplicity 2)
S (0.283, 0.000, 0.055) (multiplicity 2)
S (0.380, 0.716, 0.148) (multiplicity 2)
Br (0.494, 0.772, 0.722) (multiplicity 2)

Results
Uncorrected formation energy, eV/atom: 0.02
Crystal system: triclinic
VASP energy, eV for the cell shown: -40.9

---

# RbAgOsBr6

A relaxed RbAgOsBr6 crystal (PBE-GGA, Alexandria).

Cell: 7.1532 7.1532 7.4265 Å, 90.00 90.00 120.00°
Space group P312 (No. 149)
One atom of each set of equivalent atoms:
Rb (0.0000, 0.0000, 0.0000) (multiplicity 1)
Ag (0.3333, 0.6667, 0.5000) (multiplicity 1)
Os (0.6667, 0.3333, 0.5000) (multiplicity 1)
Br (0.3879, 0.0394, 0.6939) (multiplicity 6)

Results
Uncorrected formation energy, eV/atom: -0.51
Crystal system: trigonal
VASP energy, eV for the cell shown: -29.7

---

# LiMn2Sb2

A relaxed LiMn2Sb2 crystal (PBE-GGA, Alexandria).

Cell: 3.486 3.486 16.205 Å, 90.00 90.00 90.00°
Space group I4/mmm (No. 139)
One atom of each set of equivalent atoms:
Li (0.000, 0.000, 0.000) (multiplicity 2)
Mn (0.000, 0.500, 0.250) (multiplicity 4)
Sb (0.000, 0.000, 0.374) (multiplicity 4)

Results
Uncorrected formation energy, eV/atom: 0.10
Crystal system: tetragonal
VASP energy, eV for the cell shown: -56.0